DFT (PBE-GGA) results for an optimized crystal structure of Ce2Tm2Sn2C.

Properties
Density = 7.68 g/cm³
ΔE_f = -0.62 eV per atom
E = -84.785 eV for the cell shown

Cell: 4.791 4.791 16.338 Å, 90.00 90.00 90.00°
Space group I4/mmm (No. 139)
Asymmetric unit:
Ce 0.000 0.000 0.160 x4
Tm 0.000 0.500 0.000 x4
Sn 0.000 0.000 0.365 x4
C 0.000 0.000 0.000 x2